(1)
BPbS2, relaxed, DFT PBE; size of the total moment = 0.0 μB/f.u.; space-group type = R-3m (166)
1.0
1.953 1.128 7.775
-1.953 1.128 7.775
0.000 -2.255 7.775
B Pb S
1 1 2
direct
0.000 0.000 0.000
0.500 0.500 0.500
0.072 0.072 0.072
0.928 0.928 0.928

(2)
BPbS2, relaxed, DFT PBE; size of the total moment = 0.0 μB/f.u.; space-group type = Fm-3m (225)
1.0
0.000 3.363 3.363
3.363 0.000 3.363
3.363 3.363 0.000
B Pb S
1 1 2
direct
0.000 0.000 0.000
0.500 0.500 0.500
0.250 0.250 0.250
0.750 0.750 0.750

(3)
BPbS2, relaxed, DFT PBE; size of the total moment = 0.0 μB/f.u.; space-group type = P2_1/c (14)
1.0
9.169 0.000 0.000
0.000 5.177 0.000
-5.970 0.000 8.937
B Pb S
4 4 8
direct
0.086 0.173 0.243
0.086 0.327 0.743
0.914 0.673 0.257
0.914 0.827 0.757
0.218 0.552 0.113
0.218 0.948 0.613
0.782 0.052 0.387
0.782 0.448 0.887
0.125 0.000 0.836
0.125 0.500 0.336
0.279 0.056 0.262
0.279 0.444 0.762
0.721 0.556 0.238
0.721 0.944 0.738
0.875 0.000 0.164
0.875 0.500 0.664

Verdict on stability: (2) comes out at the bottom.

(1)
BPb2S, relaxed, DFT PBE; size of the total moment = 0.0 μB/f.u.; space-group type = I-42d (122)
1.0
-3.032 3.032 5.839
3.032 -3.032 5.839
3.032 3.032 -5.839
B Pb S
2 4 2
direct
0.000 0.000 0.000
0.750 0.250 0.500
0.067 0.625 0.942
0.375 0.317 0.442
0.683 0.125 0.058
0.875 0.933 0.558
0.250 0.750 0.500
0.500 0.500 0.000

(2)
BPb2S, relaxed, DFT PBE; size of the total moment = 0.0 μB/f.u.; space-group type = Fm-3m (225)
1.0
0.000 3.521 3.521
3.521 0.000 3.521
3.521 3.521 0.000
B Pb S
1 2 1
direct
0.000 0.000 0.000
0.250 0.250 0.250
0.750 0.750 0.750
0.500 0.500 0.500

Verdict on stability: (2) comes out at the bottom.